DFT (PBE-GGA) results for a geometry-optimized RbGe3Cl12 structure.

The calculation puts the total magnetization at 0.4 μB per formula unit. The uncorrected formation energy comes out at -0.960 eV per atom. The value obtained for the volume is 39.163 A^3/atom. The space-group type is P6_3/m. For the raw total energy, the calculation gives -3.2714 eV/atom.

Unit cell a=12.830 b=12.830 c=8.791 alpha=90.00 beta=90.00 gamma=120.00
Element x y z (fractional)
Rb 0.333 0.667 0.250
Rb 0.667 0.333 0.750
Ge 0.098 0.379 0.750
Ge 0.281 0.902 0.750
Ge 0.379 0.281 0.250
Ge 0.621 0.719 0.750
Ge 0.719 0.098 0.250
Ge 0.902 0.621 0.250
Cl 0.003 0.816 0.250
Cl 0.020 0.542 0.250
Cl 0.184 0.188 0.250
Cl 0.188 0.003 0.750
Cl 0.213 0.443 0.546
Cl 0.213 0.443 0.954
Cl 0.229 0.787 0.546
Cl 0.229 0.787 0.954
Cl 0.443 0.229 0.046
Cl 0.443 0.229 0.454
Cl 0.458 0.479 0.250
Cl 0.479 0.020 0.750
Cl 0.521 0.980 0.250
Cl 0.542 0.521 0.750
Cl 0.557 0.771 0.546
Cl 0.557 0.771 0.954
Cl 0.771 0.213 0.046
Cl 0.771 0.213 0.454
Cl 0.787 0.557 0.046
Cl 0.787 0.557 0.454
Cl 0.812 0.997 0.250
Cl 0.816 0.812 0.750
Cl 0.980 0.458 0.750
Cl 0.997 0.184 0.750


DFT (PBE-GGA) results for a geometry-optimized LiTbYBi structure.

The calculation puts the total magnetization at 0.0 μB per formula unit. The value obtained for the volume is 26.579 A^3/atom. The calculation puts the energy of formation from the pure elements at -0.320 eV/atom. The space-group type is F-43m. For the raw total energy, the calculation gives -4.5420 eV/atom.

Unit cell a=5.317 b=5.317 c=5.317 alpha=60.00 beta=60.00 gamma=60.00
Element x y z (fractional)
Li 0.000 0.000 0.000
Tb 0.750 0.750 0.750
Y 0.250 0.250 0.250
Bi 0.500 0.500 0.500


DFT (PBE-GGA) results for a geometry-optimized CrTc2Pb structure.

The calculation puts the total magnetization at 0.0 μB per formula unit. As for the energy above the lowest structure with this stoichiometry: 0.16 eV/f.u. The value obtained for the volume is 16.648 A^3/atom. The calculation puts the energy of formation from the pure elements at 0.503 eV/atom. The space-group type is Pm. For the raw total energy, the calculation gives -8.0128 eV/atom.

Unit cell a=2.951 b=3.979 c=5.672 alpha=90.00 beta=90.00 gamma=90.00
Element x y z (fractional)
Cr 0.000 0.000 0.000
Tc 0.005 0.000 0.609
Tc 0.505 0.500 0.815
Pb 0.503 0.500 0.306


DFT (PBE-GGA) results for a geometry-optimized CaRh structure.

The calculation puts the total magnetization at 0.0 μB per formula unit. The value obtained for the volume is 21.669 A^3/atom. The calculation puts the energy of formation from the pure elements at -0.141 eV/atom. The space-group type is Fddd. For the raw total energy, the calculation gives -4.8175 eV/atom.

Unit cell a=8.479 b=7.771 c=5.144 alpha=79.22 beta=64.20 gamma=36.58
Element x y z (fractional)
Ca 0.045 0.705 0.045
Ca 0.295 0.955 0.295
Ca 0.705 0.045 0.705
Ca 0.955 0.295 0.955
Rh 0.289 0.289 0.461
Rh 0.461 0.461 0.289
Rh 0.539 0.539 0.711
Rh 0.711 0.711 0.539


DFT (PBE-GGA) results for a geometry-optimized Pr3IrBrCl structure.

The calculation puts the total magnetization at 0.0 μB per formula unit. The uncorrected formation energy comes out at -1.190 eV per atom. The value obtained for the volume is 30.282 A^3/atom. The space-group type is P2_1/m. For the raw total energy, the calculation gives -5.6429 eV/atom.

Unit cell a=9.361 b=3.892 c=10.501 alpha=90.00 beta=108.25 gamma=90.00
Element x y z (fractional)
Pr 0.135 0.250 0.429
Pr 0.157 0.250 0.102
Pr 0.261 0.750 0.807
Pr 0.739 0.250 0.193
Pr 0.843 0.750 0.898
Pr 0.865 0.750 0.571
Ir 0.025 0.250 0.801
Ir 0.975 0.750 0.199
Br 0.431 0.750 0.120
Br 0.569 0.250 0.880
Cl 0.362 0.750 0.575
Cl 0.638 0.250 0.425


DFT (PBE-GGA) results for a geometry-optimized PrScTl structure.

The calculation puts the total magnetization at 0.0 μB per formula unit. As for the energy above the lowest structure with this stoichiometry: 0.00 eV/f.u. The value obtained for the volume is 28.650 A^3/atom. The calculation puts the energy of formation from the pure elements at -0.290 eV/atom. The space-group type is Pnma. For the raw total energy, the calculation gives -4.7822 eV/atom.

Unit cell a=8.275 b=4.808 c=8.641 alpha=90.00 beta=90.00 gamma=90.00
Element x y z (fractional)
Pr 0.013 0.250 0.170
Pr 0.487 0.750 0.670
Pr 0.513 0.250 0.330
Pr 0.987 0.750 0.830
Sc 0.143 0.250 0.567
Sc 0.357 0.750 0.067
Sc 0.643 0.250 0.933
Sc 0.857 0.750 0.433
Tl 0.214 0.750 0.382
Tl 0.286 0.250 0.882
Tl 0.714 0.750 0.118
Tl 0.786 0.250 0.618


DFT (PBE-GGA) results for a geometry-optimized SrCa2TaV structure.

The calculation puts the total magnetization at 0.4 μB per formula unit. The value obtained for the volume is 29.884 A^3/atom. The calculation puts the energy of formation from the pure elements at 2.236 eV/atom. The space-group type is P4/mmm. For the raw total energy, the calculation gives -3.0949 eV/atom.

Unit cell a=5.374 b=5.374 c=5.173 alpha=90.00 beta=90.00 gamma=90.00
Element x y z (fractional)
Sr 0.000 0.000 0.000
Ca 0.000 0.500 0.000
Ca 0.500 0.000 0.000
Ta 0.000 0.000 0.500
V 0.500 0.500 0.500


DFT (PBE-GGA) results for a geometry-optimized RbSiPO2 structure.

The calculation puts the total magnetization at 1.8 μB per formula unit. The uncorrected formation energy comes out at 1.405 eV per atom. As for the energy above the lowest structure with this stoichiometry: 9.48 eV/f.u. The value obtained for the volume is 23.004 A^3/atom. The space-group type is P4/mmm. For the raw total energy, the calculation gives -2.9385 eV/atom.

Unit cell a=4.174 b=4.174 c=6.601 alpha=90.00 beta=90.00 gamma=90.00
Element x y z (fractional)
Rb 0.000 0.000 0.000
Si 0.500 0.500 0.500
P 0.000 0.000 0.500
O 0.000 0.500 0.000
O 0.500 0.000 0.000


DFT (PBE-GGA) results for a geometry-optimized SmBPt2 structure.

The calculation puts the total magnetization at 0.0 μB per formula unit. The value obtained for the volume is 17.726 A^3/atom. The calculation puts the energy of formation from the pure elements at -0.479 eV/atom. The space-group type is R-3m. For the raw total energy, the calculation gives -6.3488 eV/atom.

Unit cell a=5.878 b=5.878 c=5.878 alpha=38.56 beta=38.56 gamma=38.56
Element x y z (fractional)
Sm 0.000 0.000 0.000
B 0.500 0.500 0.500
Pt 0.211 0.211 0.211
Pt 0.789 0.789 0.789


DFT (PBE-GGA) results for a geometry-optimized Nd2GdY structure.

The calculation puts the total magnetization at 8.1 μB per formula unit. As for the energy above the lowest structure with this stoichiometry: 0.37 eV/f.u. The value obtained for the volume is 34.076 A^3/atom. The calculation puts the energy of formation from the pure elements at 0.105 eV/atom. The space-group type is Fm-3m. For the raw total energy, the calculation gives -7.4148 eV/atom.

Unit cell a=5.777 b=5.777 c=5.777 alpha=60.00 beta=60.00 gamma=60.00
Element x y z (fractional)
Nd 0.250 0.250 0.250
Nd 0.750 0.750 0.750
Gd 0.000 0.000 0.000
Y 0.500 0.500 0.500


DFT (PBE-GGA) results for a geometry-optimized La2Co2P structure.

The calculation puts the total magnetization at 1.1 μB per formula unit. The value obtained for the volume is 19.449 A^3/atom. The calculation puts the energy of formation from the pure elements at -0.379 eV/atom. The space-group type is P4/mbm. For the raw total energy, the calculation gives -6.2740 eV/atom.

Unit cell a=6.905 b=6.905 c=4.080 alpha=90.00 beta=90.00 gamma=90.00
Element x y z (fractional)
La 0.192 0.308 0.000
La 0.308 0.808 0.000
La 0.692 0.192 0.000
La 0.808 0.692 0.000
Co 0.117 0.617 0.500
Co 0.383 0.117 0.500
Co 0.617 0.883 0.500
Co 0.883 0.383 0.500
P 0.000 0.000 0.500
P 0.500 0.500 0.500


DFT (PBE-GGA) results for a geometry-optimized La2CuNi2 structure.

The calculation puts the total magnetization at 0.0 μB per formula unit. The value obtained for the volume is 19.938 A^3/atom. The calculation puts the energy of formation from the pure elements at -0.280 eV/atom. The space-group type is C2/c. For the raw total energy, the calculation gives -5.3829 eV/atom.

Unit cell a=5.353 b=5.353 c=8.124 alpha=103.13 beta=103.13 gamma=62.67
Element x y z (fractional)
La 0.010 0.291 0.151
La 0.291 0.010 0.651
La 0.709 0.990 0.349
La 0.990 0.709 0.849
Cu 0.356 0.644 0.250
Cu 0.644 0.356 0.750
Ni 0.240 0.503 0.492
Ni 0.497 0.760 0.008
Ni 0.503 0.240 0.992
Ni 0.760 0.497 0.508


DFT (PBE-GGA) results for a geometry-optimized ErZrMn2 structure.

The calculation puts the total magnetization at 4.3 μB per formula unit. The value obtained for the volume is 18.741 A^3/atom. The calculation puts the energy of formation from the pure elements at 0.150 eV/atom. The space-group type is P4/mmm. For the raw total energy, the calculation gives -7.7129 eV/atom.

Unit cell a=4.737 b=4.737 c=3.341 alpha=90.00 beta=90.00 gamma=90.00
Element x y z (fractional)
Er 0.000 0.000 0.000
Zr 0.500 0.500 0.000
Mn 0.000 0.500 0.500
Mn 0.500 0.000 0.500


DFT (PBE-GGA) results for a geometry-optimized CrH6Pd8 structure.

The calculation puts the total magnetization at 3.6 μB per formula unit. The value obtained for the volume is 10.379 A^3/atom. The space-group type is P-3. For the raw total energy, the calculation gives -4.8083 eV/atom.

Unit cell a=7.910 b=7.910 c=2.873 alpha=90.00 beta=90.00 gamma=120.00
Element x y z (fractional)
Cr 0.000 0.000 0.000
H 0.148 0.446 0.202
H 0.298 0.852 0.202
H 0.446 0.298 0.798
H 0.554 0.702 0.202
H 0.702 0.148 0.798
H 0.852 0.554 0.798
Pd 0.020 0.688 0.297
Pd 0.312 0.332 0.297
Pd 0.332 0.020 0.703
Pd 0.333 0.667 0.861
Pd 0.667 0.333 0.139
Pd 0.668 0.980 0.297
Pd 0.688 0.668 0.703
Pd 0.980 0.312 0.703


DFT (PBE-GGA) results for a geometry-optimized ZrRuAu2 structure.

The calculation puts the total magnetization at 0.0 μB per formula unit. As for the energy above the lowest structure with this stoichiometry: 1.16 eV/f.u. The value obtained for the volume is 17.964 A^3/atom. The calculation puts the energy of formation from the pure elements at -0.084 eV/atom. The space-group type is Fm-3m. For the raw total energy, the calculation gives -6.1788 eV/atom.

Unit cell a=4.667 b=4.667 c=4.667 alpha=60.00 beta=60.00 gamma=60.00
Element x y z (fractional)
Zr 0.000 0.000 0.000
Ru 0.500 0.500 0.500
Au 0.250 0.250 0.250
Au 0.750 0.750 0.750


DFT (PBE-GGA) results for a geometry-optimized Cs3Cr2I9 structure.

The calculation puts the total magnetization at 5.9 μB per formula unit. The uncorrected formation energy comes out at -0.916 eV per atom. As for the energy above the lowest structure with this stoichiometry: 0.00 eV/f.u. The value obtained for the volume is 44.634 A^3/atom. The space-group type is P6_3/mmc. For the raw total energy, the calculation gives -3.4704 eV/atom.

Unit cell a=8.288 b=8.288 c=21.007 alpha=90.00 beta=90.00 gamma=120.00
Element x y z (fractional)
Cs 0.000 0.000 0.250
Cs 0.000 0.000 0.750
Cs 0.333 0.667 0.064
Cs 0.333 0.667 0.436
Cs 0.667 0.333 0.564
Cs 0.667 0.333 0.936
Cr 0.333 0.667 0.664
Cr 0.333 0.667 0.836
Cr 0.667 0.333 0.164
Cr 0.667 0.333 0.336
I 0.032 0.516 0.750
I 0.176 0.351 0.594
I 0.176 0.351 0.906
I 0.176 0.824 0.594
I 0.176 0.824 0.906
I 0.351 0.176 0.094
I 0.351 0.176 0.406
I 0.484 0.516 0.750
I 0.484 0.968 0.750
I 0.516 0.032 0.250
I 0.516 0.484 0.250
I 0.649 0.824 0.594
I 0.649 0.824 0.906
I 0.824 0.176 0.094
I 0.824 0.176 0.406
I 0.824 0.649 0.094
I 0.824 0.649 0.406
I 0.968 0.484 0.250


DFT (PBE-GGA) results for a geometry-optimized Mn2TcPbS structure.

The calculation puts the total magnetization at 7.7 μB per formula unit. The uncorrected formation energy comes out at 0.594 eV per atom. The value obtained for the volume is 21.806 A^3/atom. The space-group type is P4/mmm. For the raw total energy, the calculation gives -6.7143 eV/atom.

Unit cell a=5.002 b=5.002 c=4.358 alpha=90.00 beta=90.00 gamma=90.00
Element x y z (fractional)
Mn 0.000 0.500 0.000
Mn 0.500 0.000 0.000
Tc 0.000 0.000 0.000
Pb 0.500 0.500 0.500
S 0.000 0.000 0.500


DFT (PBE-GGA) results for a geometry-optimized KScTe2 structure.

The calculation puts the total magnetization at 0.0 μB per formula unit. The uncorrected formation energy comes out at -0.970 eV per atom. The value obtained for the volume is 29.737 A^3/atom. The space-group type is Cmmm. For the raw total energy, the calculation gives -4.3982 eV/atom.

Unit cell a=3.742 b=3.742 c=8.497 alpha=90.00 beta=90.00 gamma=90.08
Element x y z (fractional)
K 0.000 0.000 0.000
Sc 0.000 0.000 0.500
Te 0.500 0.500 0.296
Te 0.500 0.500 0.704


DFT (PBE-GGA) results for a geometry-optimized K2MnAlSe4 structure.

The calculation puts the total magnetization at 4.0 μB per formula unit. The uncorrected formation energy comes out at -0.930 eV per atom. The value obtained for the volume is 30.385 A^3/atom. The space-group type is Fddd. For the raw total energy, the calculation gives -4.5604 eV/atom.

Unit cell a=13.401 b=11.792 c=7.671 alpha=84.19 beta=61.10 gamma=34.71
Element x y z (fractional)
K 0.055 0.055 0.695
K 0.305 0.305 0.945
K 0.695 0.695 0.055
K 0.945 0.945 0.305
Mn 0.125 0.125 0.125
Mn 0.875 0.875 0.875
Al 0.375 0.375 0.375
Al 0.625 0.625 0.625
Se 0.027 0.332 0.425
Se 0.284 0.575 0.668
Se 0.332 0.027 0.716
Se 0.425 0.716 0.027
Se 0.575 0.284 0.973
Se 0.668 0.973 0.284
Se 0.716 0.425 0.332
Se 0.973 0.668 0.575


DFT (PBE-GGA) results for a geometry-optimized LiHfB structure.

The calculation puts the total magnetization at 0.0 μB per formula unit. As for the energy above the lowest structure with this stoichiometry: 0.66 eV/f.u. The value obtained for the volume is 13.000 A^3/atom. The calculation puts the energy of formation from the pure elements at -0.135 eV/atom. The space-group type is Pnma. For the raw total energy, the calculation gives -6.3165 eV/atom.

Unit cell a=6.047 b=3.526 c=7.316 alpha=90.00 beta=90.00 gamma=90.00
Element x y z (fractional)
Li 0.126 0.250 0.047
Li 0.374 0.750 0.547
Li 0.626 0.250 0.453
Li 0.874 0.750 0.953
Hf 0.056 0.250 0.674
Hf 0.444 0.750 0.174
Hf 0.556 0.250 0.826
Hf 0.944 0.750 0.326
B 0.224 0.250 0.364
B 0.276 0.750 0.864
B 0.724 0.250 0.136
B 0.776 0.750 0.636